Entry from Alexandria via LeMat-Bulk: a relaxed structure of Ce2SiCl2 (PBE).

The value obtained for the formation energy without anion corrections is -1215 meV/atom. As for the raw total energy: -5.411 eV per atom. As for the density of states at the Fermi level: 2.49 states/eV/atom.

```
Ce2SiCl2
1.0
2.030 -7.093 0.000
2.030 7.093 0.000
0.000 0.000 9.087
Ce Si Cl
4 2 4
Direct
0.004 0.996 0.500
0.239 0.761 0.788
0.761 0.239 0.288
0.996 0.004 0.000
0.375 0.625 0.119
0.625 0.375 0.619
0.119 0.881 0.257
0.342 0.658 0.488
0.658 0.342 0.988
0.881 0.119 0.757
```